# Zr2Tc, optimized geometry, DFT PBE-GGA
data_Zr2Tc
_space_group_name_H-M_alt 'C m c m'
_space_group_IT_number 63
_space_group_name_Hall '-C 2c 2'
_cell_length_a 3.3507
_cell_length_b 14.4669
_cell_length_c 4.8777
_cell_angle_alpha 90.00
_cell_angle_beta 90.00
_cell_angle_gamma 90.00
loop_
_atom_site_label
_atom_site_type_symbol
_atom_site_fract_x
_atom_site_fract_y
_atom_site_fract_z
Zr1 Zr 0.0000 0.0757 0.2500
Zr2 Zr 0.0000 0.2273 0.7500
Tc1 Tc 0.0000 0.4211 0.2500
# Magnetization: 0.00 μB per formula unit
# Distance to the lowest polymorph of the same formula: 0 meV per atom
# DFT formation energy: -0.28 eV/atom
# E_tot: -9.429 eV per atom

=====

# Ti2Co4Sn, optimized geometry, DFT PBE-GGA
data_Ti2Co4Sn
_space_group_name_H-M_alt 'R -3 m'
_space_group_IT_number 166
_space_group_name_Hall '-R 3 2"'
_cell_length_a 4.1115
_cell_length_b 4.1115
_cell_length_c 20.2821
_cell_angle_alpha 90.00
_cell_angle_beta 90.00
_cell_angle_gamma 120.00
loop_
_atom_site_label
_atom_site_type_symbol
_atom_site_fract_x
_atom_site_fract_y
_atom_site_fract_z
Ti1 Ti 0.0000 0.0000 0.2436
Co1 Co 0.0000 0.0000 0.1293
Co2 Co 0.0000 0.0000 0.3817
Sn1 Sn 0.0000 0.0000 0.0000
# Magnetization: 0.00 μB per formula unit
# DFT formation energy: -0.03 eV/atom
# E_tot: -6.916 eV per atom

=====

# NaGe2Te2, optimized geometry, DFT PBE-GGA
data_NaGe2Te2
_space_group_name_H-M_alt 'I 4/m m m'
_space_group_IT_number 139
_space_group_name_Hall '-I 4 2'
_cell_length_a 5.6241
_cell_length_b 5.6241
_cell_length_c 8.9798
_cell_angle_alpha 90.00
_cell_angle_beta 90.00
_cell_angle_gamma 90.00
loop_
_atom_site_label
_atom_site_type_symbol
_atom_site_fract_x
_atom_site_fract_y
_atom_site_fract_z
Na1 Na 0.0000 0.0000 0.0000
Ge1 Ge 0.0000 0.0000 0.3500
Te1 Te 0.0000 0.5000 0.2500
# Formation energy (no corrections): -183 meV per atom
# Magnetization: 0.00 μB per formula unit
# Distance to the lowest polymorph of the same formula: 0 meV per atom
# E_tot: -3.551 eV per atom

=====

# TmPu3N, optimized geometry, DFT PBE-GGA
data_TmPu3N
_space_group_name_H-M_alt 'P m -3 m'
_space_group_IT_number 221
_space_group_name_Hall '-P 4 2 3'
_cell_length_a 4.8705
_cell_length_b 4.8705
_cell_length_c 4.8705
_cell_angle_alpha 90.00
_cell_angle_beta 90.00
_cell_angle_gamma 90.00
loop_
_atom_site_label
_atom_site_type_symbol
_atom_site_fract_x
_atom_site_fract_y
_atom_site_fract_z
Tm1 Tm 0.0000 0.0000 0.0000
Pu1 Pu 0.0000 0.5000 0.5000
N1 N 0.5000 0.5000 0.5000
# Formation energy (no corrections): -293 meV per atom
# Magnetization: 16.37 μB per formula unit
# E_tot: -11.451 eV per atom

=====

# CdPtPb2, optimized geometry, DFT PBE-GGA
data_CdPtPb2
_space_group_name_H-M_alt 'R 3 m'
_space_group_IT_number 160
_space_group_name_Hall 'R 3 -2"'
_cell_length_a 3.9983
_cell_length_b 3.9983
_cell_length_c 23.8126
_cell_angle_alpha 90.00
_cell_angle_beta 90.00
_cell_angle_gamma 120.00
loop_
_atom_site_label
_atom_site_type_symbol
_atom_site_fract_x
_atom_site_fract_y
_atom_site_fract_z
Cd1 Cd 0.0000 0.0000 0.0000
Pt1 Pt 0.0000 0.0000 0.1678
Pb1 Pb 0.0000 0.0000 0.5703
Pb2 Pb 0.0000 0.0000 0.7666
# Magnetization: 0.00 μB per formula unit
# DFT formation energy: -0.04 eV/atom
# E_tot: -3.638 eV per atom

=====

# Pr8As3PS4, optimized geometry, DFT PBE-GGA
data_Pr8As3PS4
_space_group_name_H-M_alt 'R -3 m'
_space_group_IT_number 166
_space_group_name_Hall '-R 3 2"'
_cell_length_a 8.4181
_cell_length_b 8.4181
_cell_length_c 20.5083
_cell_angle_alpha 90.00
_cell_angle_beta 90.00
_cell_angle_gamma 120.00
loop_
_atom_site_label
_atom_site_type_symbol
_atom_site_fract_x
_atom_site_fract_y
_atom_site_fract_z
Pr1 Pr 0.0000 0.0000 0.2494
Pr2 Pr 0.0047 0.5024 0.7495
As1 As 0.0000 0.5000 0.0000
P1 P 0.0000 0.0000 0.0000
S1 S 0.0000 0.0000 0.5000
S2 S 0.0000 0.5000 0.5000
# Formation energy (no corrections): -1798 meV per atom
# Magnetization: 0.00 μB per formula unit
# E_tot: -6.429 eV per atom